Computed, not measured: an optimized crystal structure of TlIn2S5 at the PBE-GGA level of DFT.

```
TlIn2S5
1.0
2.777 -6.987 0.000
2.777 6.987 0.000
0.000 0.000 13.096
Tl In S
2 4 10
Direct
0.149 0.851 0.750 Tl
0.851 0.149 0.250 Tl
0.195 0.805 0.082 In
0.195 0.805 0.418 In
0.805 0.195 0.582 In
0.805 0.195 0.918 In
0.012 0.988 0.077 S
0.012 0.988 0.423 S
0.283 0.717 0.250 S
0.290 0.710 0.576 S
0.290 0.710 0.924 S
0.710 0.290 0.076 S
0.710 0.290 0.424 S
0.717 0.283 0.750 S
0.988 0.012 0.577 S
0.988 0.012 0.923 S
```

- D(E_F) (states/eV/f.u.) = 6.13
- spin magnetization (μB/f.u.) = 0.54
- E_tot (eV/atom) = -3.830

=====

Computed, not measured: an optimized crystal structure of TlInS2 at the PBE-GGA level of DFT.

```
TlInS2
1.0
7.972 0.000 0.000
0.000 7.972 0.000
0.000 0.000 6.748
Tl In S
4 4 8
Direct
0.000 0.000 0.250 Tl
0.000 0.000 0.750 Tl
0.500 0.500 0.250 Tl
0.500 0.500 0.750 Tl
0.000 0.500 0.250 In
0.000 0.500 0.750 In
0.500 0.000 0.250 In
0.500 0.000 0.750 In
0.166 0.334 0.000 S
0.166 0.666 0.500 S
0.334 0.166 0.500 S
0.334 0.834 0.000 S
0.666 0.166 0.000 S
0.666 0.834 0.500 S
0.834 0.334 0.500 S
0.834 0.666 0.000 S
```

- D(E_F) (states/eV/f.u.) = 0.00
- spin magnetization (μB/f.u.) = 0.00
- E_tot (eV/atom) = -3.851

=====

Computed, not measured: an optimized crystal structure of Tl8InS6 at the PBE-GGA level of DFT.

```
Tl8InS6
1.0
8.864 0.000 0.000
0.000 9.456 0.000
0.000 0.000 11.153
Tl In S
16 2 12
Direct
0.000 0.209 0.140 Tl
0.000 0.222 0.710 Tl
0.201 0.709 0.792 Tl
0.227 0.567 0.500 Tl
0.228 0.956 0.487 Tl
0.272 0.044 0.987 Tl
0.273 0.433 0.000 Tl
0.299 0.291 0.292 Tl
0.500 0.778 0.210 Tl
0.500 0.791 0.640 Tl
0.701 0.291 0.292 Tl
0.727 0.433 0.000 Tl
0.728 0.044 0.987 Tl
0.772 0.956 0.487 Tl
0.773 0.567 0.500 Tl
0.799 0.709 0.792 Tl
0.000 0.735 0.186 In
0.500 0.265 0.686 In
0.000 0.473 0.846 S
0.000 0.516 0.309 S
0.000 0.931 0.675 S
0.000 0.966 0.300 S
0.237 0.737 0.058 S
0.263 0.263 0.558 S
0.500 0.034 0.800 S
0.500 0.069 0.175 S
0.500 0.484 0.809 S
0.500 0.527 0.346 S
0.737 0.263 0.558 S
0.763 0.737 0.058 S
```

- D(E_F) (states/eV/f.u.) = 5.00
- spin magnetization (μB/f.u.) = 0.00
- E_tot (eV/atom) = -3.397

=====

Computed, not measured: an optimized crystal structure of TlIn2S2 at the PBE-GGA level of DFT.

```
TlIn2S2
1.0
3.900 0.000 0.000
-1.950 3.377 0.000
0.000 0.000 31.623
Tl In S
3 6 6
Direct
0.000 0.000 0.000 Tl
0.333 0.667 0.667 Tl
0.667 0.333 0.333 Tl
0.000 0.000 0.411 In
0.000 0.000 0.589 In
0.333 0.667 0.078 In
0.333 0.667 0.255 In
0.667 0.333 0.745 In
0.667 0.333 0.922 In
0.000 0.000 0.216 S
0.000 0.000 0.784 S
0.333 0.667 0.450 S
0.333 0.667 0.883 S
0.667 0.333 0.117 S
0.667 0.333 0.550 S
```

- D(E_F) (states/eV/f.u.) = 2.05
- spin magnetization (μB/f.u.) = 0.00
- E_tot (eV/atom) = -3.506

=====

Computed, not measured: an optimized crystal structure of Tm2Tl3InS6 at the PBE-GGA level of DFT.

```
Tm2Tl3InS6
1.0
3.427 -5.931 0.000
3.427 5.931 0.000
-2.290 0.000 7.541
Tm Tl In S
2 3 1 6
Direct
0.166 0.834 0.000 Tm
0.834 0.166 0.000 Tm
0.000 0.000 0.500 Tl
0.331 0.669 0.500 Tl
0.669 0.331 0.500 Tl
0.500 0.500 0.000 In
0.106 0.435 0.806 S
0.236 0.236 0.197 S
0.435 0.106 0.806 S
0.565 0.894 0.194 S
0.764 0.764 0.803 S
0.894 0.565 0.194 S
```

- spin magnetization (μB/f.u.) = 0.00
- E_tot (eV/atom) = -4.770

=====

Computed, not measured: an optimized crystal structure of Tm3Tl4InS8 at the PBE-GGA level of DFT.

```
Tm3Tl4InS8
1.0
3.961 2.287 7.532
-3.961 2.287 7.532
0.000 -4.573 7.532
Tm Tl In S
3 4 1 8
Direct
0.000 0.500 0.500 Tm
0.500 0.000 0.500 Tm
0.500 0.500 0.000 Tm
0.000 0.000 0.500 Tl
0.000 0.500 0.000 Tl
0.500 0.000 0.000 Tl
0.500 0.500 0.500 Tl
0.000 0.000 0.000 In
0.230 0.230 0.735 S
0.230 0.735 0.230 S
0.265 0.770 0.770 S
0.268 0.268 0.268 S
0.732 0.732 0.732 S
0.735 0.230 0.230 S
0.770 0.265 0.770 S
0.770 0.770 0.265 S
```

- spin magnetization (μB/f.u.) = 0.00
- E_tot (eV/atom) = -4.893

=====

Calculated values (eV per atom) of E_form (uncorrected) for the records, taken in order: -0.269; -0.511; -0.301; -0.286; -1.141; -1.228.